# La2YOs2 PBE-GGA relaxed
# Fermi-level density of states	9.526	states/eV/cell
# final energy	-7.77	eV/atom
# DFT formation energy	-0.36	kcal/mol of atoms
data_La2YOs2
_chemical_formula_sum 'La4 Y2 Os4'
_cell_length_a 7.5690
_cell_length_b 7.5690
_cell_length_c 4.4759
_cell_angle_alpha 90.00
_cell_angle_beta 90.00
_cell_angle_gamma 90.00
_symmetry_space_group_name_H-M 'P 1'
_symmetry_Int_Tables_number 1
loop_
_symmetry_equiv_pos_as_xyz
'x,y,z'
loop_
_atom_site_label
_atom_site_type_symbol
_atom_site_fract_x
_atom_site_fract_y
_atom_site_fract_z
La1 La 0.1783 0.3217 0.0000
La2 La 0.3217 0.8217 0.0000
La3 La 0.6783 0.1783 0.0000
La4 La 0.8217 0.6783 0.0000
Y1 Y 0.0000 0.0000 0.5000
Y2 Y 0.5000 0.5000 0.5000
Os1 Os 0.1152 0.6152 0.5000
Os2 Os 0.3848 0.1152 0.5000
Os3 Os 0.6152 0.8848 0.5000
Os4 Os 0.8848 0.3848 0.5000